(1)
Density functional theory data (GGA-PBE) for crystalline LaFe3 at its relaxed geometry.

Lattice parameters (Å, degrees): 3.681 3.681 21.464 90.00 90.00 90.00
Space group I4/mmm (No. 139)
Asymmetric unit:
La  0.000  0.000  0.114 x4
Fe  0.000  0.000  0.319 x4
Fe  0.000  0.500  0.000 x4
Fe  0.000  0.500  0.250 x4

Formation energy ... 1.5 eV/f.u.
Crystal system ... tetragonal
Density of states at the Fermi level ... 0.9108 states/eV per atom

=====

(2)
Density functional theory data (GGA-PBE) for crystalline AcTlPt2 at its relaxed geometry.

Lattice parameters (Å, degrees): 4.958 4.958 3.876 90.00 90.00 90.00
Space group P4/mmm (No. 123)
Asymmetric unit:
Ac  0.000  0.000  0.000 x1
Tl  0.500  0.500  0.000 x1
Pt  0.000  0.500  0.500 x2

Formation energy ... -2.2 eV/f.u.
Crystal system ... tetragonal
Density of states at the Fermi level ... 0.2461 states/eV per atom